(1)
Below is InSn2P2 after structural relaxation, with properties calculated at the PBE level.

abc: 7.744 7.744 3.739
angles: 90.00 90.00 90.00
Positions (direct):
1 Sn 0.349 0.151 0.500
2 Sn 0.151 0.651 0.500
3 P 0.655 0.155 0.000
4 In 0.000 0.000 0.000
5 P 0.155 0.345 0.000
6 P 0.845 0.655 0.000
7 In 0.500 0.500 0.000
8 P 0.345 0.845 0.000
9 Sn 0.651 0.849 0.500
10 Sn 0.849 0.349 0.500

Results
Excess energy over the best structure of this formula in the dataset ... 0.028 eV/atom
Crystal system ... tetragonal

***

(2)
Below is InSn2P after structural relaxation, with properties calculated at the PBE level.

abc: 3.633 3.633 9.954
angles: 79.49 79.49 60.00
Positions (direct):
1 In 0.000 0.000 0.000
2 P 0.500 0.500 0.500
3 Sn 0.893 0.893 0.321
4 Sn 0.107 0.107 0.679

Results
Excess energy over the best structure of this formula in the dataset ... 0.072 eV/atom
Crystal system ... trigonal

***

(3)
Below is InSn2P2 after structural relaxation, with properties calculated at the PBE level.

abc: 5.420 5.420 5.600
angles: 61.06 61.06 90.00
Positions (direct):
1 In 0.000 0.000 0.000
2 P 0.366 0.366 0.268
3 Sn 0.750 0.250 0.500
4 P 0.634 0.634 0.732
5 Sn 0.250 0.750 0.500

Results
Excess energy over the best structure of this formula in the dataset ... 0.000 eV/atom
Crystal system ... tetragonal

***

(4)
Below is In12Sn5P3 after structural relaxation, with properties calculated at the PBE level.

abc: 14.697 14.697 14.697
angles: 109.47 109.47 109.47
Positions (direct):
1 In 0.070 0.637 0.738
2 Sn 0.750 0.125 0.875
3 P 0.625 0.250 0.375
4 In 0.067 0.168 0.430
5 P 0.375 0.625 0.250
6 P 0.250 0.625 0.875
7 In 0.433 0.070 0.332
8 P 0.375 0.750 0.625
9 P 0.750 0.375 0.125
10 P 0.125 0.250 0.875
11 In 0.430 0.668 0.067
12 P 0.125 0.875 0.750
13 In 0.067 0.899 0.137
14 In 0.363 0.433 0.101
15 Sn 0.250 0.375 0.625
16 Sn 0.000 0.000 0.500
17 P 0.875 0.125 0.250
18 In 0.933 0.101 0.863
19 In 0.832 0.933 0.070
20 In 0.668 0.430 0.567
21 In 0.570 0.238 0.137
22 In 0.899 0.067 0.637
23 In 0.601 0.863 0.433
24 In 0.863 0.262 0.430
25 Sn 0.250 0.875 0.125
26 In 0.832 0.899 0.262
27 In 0.738 0.137 0.070
28 P 0.250 0.125 0.375
29 In 0.668 0.238 0.601
30 In 0.930 0.363 0.262
31 In 0.933 0.832 0.570
32 In 0.762 0.332 0.899
33 Sn 0.875 0.625 0.750
34 Sn 0.125 0.375 0.250
35 Sn 0.625 0.875 0.250
36 P 0.750 0.875 0.625
37 Sn 0.000 0.000 0.000
38 In 0.332 0.570 0.433
39 In 0.899 0.832 0.762
40 In 0.137 0.738 0.570
41 In 0.363 0.930 0.762
42 Sn 0.000 0.500 0.500
43 Sn 0.750 0.625 0.375
44 In 0.433 0.363 0.601
45 Sn 0.375 0.125 0.750
46 In 0.262 0.399 0.832
47 Sn 0.500 0.500 0.000
48 In 0.238 0.668 0.101
49 In 0.863 0.601 0.933
50 In 0.168 0.101 0.738
51 In 0.430 0.762 0.863
52 In 0.738 0.601 0.168
53 In 0.070 0.433 0.832
54 In 0.332 0.762 0.399
55 In 0.399 0.137 0.567
56 Sn 0.625 0.750 0.875
57 In 0.137 0.399 0.067
58 Sn 0.500 0.000 0.000
59 In 0.762 0.430 0.363
60 P 0.625 0.375 0.750
61 Sn 0.875 0.250 0.625
62 Sn 0.375 0.250 0.125
63 In 0.399 0.262 0.332
64 Sn 0.125 0.750 0.375
65 In 0.637 0.567 0.899
66 Sn 0.500 0.500 0.500
67 In 0.168 0.067 0.930
68 In 0.567 0.930 0.668
69 In 0.570 0.332 0.933
70 In 0.101 0.168 0.238
71 In 0.930 0.567 0.168
72 Sn 0.500 0.000 0.500
73 In 0.601 0.738 0.668
74 P 0.875 0.750 0.125
75 In 0.567 0.637 0.399
76 Sn 0.000 0.500 0.000
77 In 0.262 0.863 0.930
78 In 0.238 0.570 0.637
79 In 0.637 0.070 0.238
80 In 0.101 0.933 0.363

Results
Crystal system ... cubic

***

(5)
Below is InSn2P after structural relaxation, with properties calculated at the PBE level.

abc: 6.367 6.367 7.672
angles: 65.48 65.48 90.00
Positions (direct):
1 Sn 0.153 0.625 0.250
2 Sn 0.597 0.125 0.250
3 In 0.750 0.250 0.500
4 P 0.500 0.500 0.000
5 Sn 0.875 0.847 0.750
6 In 0.000 0.000 0.000
7 Sn 0.375 0.403 0.750
8 P 0.250 0.750 0.500

Results
Excess energy over the best structure of this formula in the dataset ... 0.000 eV/atom
Crystal system ... tetragonal

***

(6)
Below is InSn2P2 after structural relaxation, with properties calculated at the PBE level.

abc: 4.136 4.136 7.948
angles: 74.92 74.92 90.00
Positions (direct):
1 Sn 0.625 0.625 0.751
2 P 0.250 0.750 0.500
3 P 0.750 0.250 0.500
4 In 0.000 0.000 0.000
5 Sn 0.375 0.375 0.249

Results
Excess energy over the best structure of this formula in the dataset ... 0.145 eV/atom
Crystal system ... tetragonal

***

(7)
Below is InSnP3 after structural relaxation, with properties calculated at the PBE level.

abc: 5.100 5.100 5.100
angles: 90.00 90.00 90.00
Positions (direct):
1 In 0.500 0.500 0.500
2 P 0.000 0.000 0.500
3 P 0.500 0.000 0.000
4 P 0.000 0.500 0.000
5 Sn 0.000 0.000 0.000

Results
Excess energy over the best structure of this formula in the dataset ... 0.000 eV/atom
Crystal system ... cubic

***

(8)
Below is Sr3InP3 after structural relaxation, with properties calculated at the PBE level.

abc: 4.337 12.972 13.981
angles: 90.00 90.00 90.00
Positions (direct):
1 P 0.250 0.092 0.115
2 Sr 0.750 0.925 0.103
3 P 0.750 0.950 0.358
4 Sr 0.750 0.141 0.494
5 In 0.750 0.950 0.702
6 Sr 0.750 0.641 0.006
7 Sr 0.250 0.575 0.603
8 P 0.250 0.239 0.371
9 In 0.750 0.450 0.798
10 In 0.250 0.550 0.202
11 Sr 0.250 0.776 0.795
12 P 0.750 0.261 0.871
13 P 0.750 0.908 0.885
14 Sr 0.750 0.224 0.205
15 Sr 0.250 0.859 0.506
16 Sr 0.250 0.276 0.705
17 P 0.750 0.761 0.629
18 Sr 0.250 0.075 0.897
19 Sr 0.750 0.724 0.295
20 In 0.250 0.050 0.298
21 Sr 0.750 0.425 0.397
22 P 0.250 0.739 0.129
23 P 0.750 0.450 0.142
24 P 0.250 0.550 0.858
25 P 0.250 0.050 0.642
26 P 0.750 0.408 0.615
27 P 0.250 0.592 0.385
28 Sr 0.250 0.359 0.994

Results
Crystal system ... orthorhombic

***

The records above give, respectively, total DFT energy (no corrections) values of -4.1303 -3.9156 -4.1585 -3.2391 -3.9875 -4.0135 -3.6354 -4.3782 eV/atom.
The records above give, respectively, calculated volume values of 112.1 111.2 119.9 610.9 125.9 126.4 132.7 196.6 Å³/f.u..